Entry 1:
# CrIr2OsPd

CrIr2OsPd after structural relaxation (GGA-PBE, the Alexandria database).

a b c (Å): 4.690 4.690 4.821
angles (deg): 90.00 90.00 90.00
Fractional coordinates of all 5 atoms:
Cr 0.000 0.000 0.000
Ir 0.000 0.500 0.500
Ir 0.500 0.000 0.500
Os 0.500 0.500 0.500
Pd 0.500 0.500 0.000

Output
Energy of formation from the pure elements in kJ per mole of atoms: 195.1
Symmetry: P4/mmm (123)

=====

Entry 2:
# CrIr2Os4Ru

CrIr2Os4Ru after structural relaxation (GGA-PBE, the Alexandria database).

a b c (Å): 3.829 3.829 7.668
angles (deg): 90.00 90.00 90.00
Fractional coordinates of all 8 atoms:
Cr 0.000 0.000 0.000
Ir 0.000 0.000 0.500
Ir 0.500 0.500 0.500
Os 0.000 0.500 0.244
Os 0.000 0.500 0.756
Os 0.500 0.000 0.244
Os 0.500 0.000 0.756
Ru 0.500 0.500 0.000

Output
Energy of formation from the pure elements in kJ per mole of atoms: 6.3
Symmetry: P4/mmm (123)

=====

Entry 3:
# CrIrOs2Ru4

CrIrOs2Ru4 after structural relaxation (GGA-PBE, the Alexandria database).

a b c (Å): 7.410 7.410 5.297
angles (deg): 110.86 110.86 88.39
Fractional coordinates of all 16 atoms:
Cr 0.000 0.500 0.000
Cr 0.500 0.000 0.500
Ir 0.000 0.000 0.000
Ir 0.000 0.000 0.500
Os 0.000 0.500 0.500
Os 0.500 0.000 0.000
Os 0.500 0.500 0.000
Os 0.500 0.500 0.500
Ru 0.223 0.272 0.497
Ru 0.266 0.734 0.003
Ru 0.266 0.734 0.497
Ru 0.272 0.223 0.997
Ru 0.728 0.777 0.003
Ru 0.734 0.266 0.503
Ru 0.734 0.266 0.997
Ru 0.777 0.728 0.503

Output
Energy of formation from the pure elements in kJ per mole of atoms: 78.4
Symmetry: C2/c (15)

=====

Entry 4:
# CrSiIrOs

CrSiIrOs after structural relaxation (GGA-PBE, the Alexandria database).

a b c (Å): 4.236 4.236 4.236
angles (deg): 60.00 60.00 60.00
Fractional coordinates of all 4 atoms:
Cr 0.000 0.000 0.000
Si 0.500 0.500 0.500
Ir 0.250 0.250 0.250
Os 0.750 0.750 0.750

Output
E_tot in eV per atom: -8.992
Symmetry: F-43m (216)

=====

Entry 5:
# VCrIrOs

VCrIrOs after structural relaxation (GGA-PBE, the Alexandria database).

a b c (Å): 4.286 4.286 4.286
angles (deg): 60.00 60.00 60.00
Fractional coordinates of all 4 atoms:
V 0.000 0.000 0.000
Cr 0.500 0.500 0.500
Ir 0.250 0.250 0.250
Os 0.750 0.750 0.750

Output
Energy of formation from the pure elements in kJ per mole of atoms: -8.6
Symmetry: F-43m (216)

=====

Entry 6:
# VCrIrOs2

VCrIrOs2 after structural relaxation (GGA-PBE, the Alexandria database).

a b c (Å): 4.422 4.422 4.121
angles (deg): 90.00 90.00 90.00
Fractional coordinates of all 5 atoms:
V 0.000 0.000 0.000
Cr 0.000 0.000 0.500
Ir 0.500 0.500 0.500
Os 0.000 0.500 0.000
Os 0.500 0.000 0.000

Output
Energy of formation from the pure elements in kJ per mole of atoms: 152.3
Symmetry: P4/mmm (123)

=====

| no. | total moment (μB per atom) |
| --- | --- |
| 1 | 0.0304 |
| 2 | 0.0001 |
| 3 | 0.3225 |
| 4 | 0.7502 |
| 5 | 0.9246 |
| 6 | 0.0028 |